Entry from OQMD: a geometry-optimized ZrTlFeIr structure (PBE-GGA).

## Properties
ΔE to the lowest computed polymorph (meV/atom): 0
Uncorrected energy (eV per atom): -7.07
SG: No. 216

```
ZrTlFeIr
1.0
2.133 -1.279 3.888
0.079 2.847 3.632
-2.473 -0.997 3.768
Tl Zr Fe Ir
1 1 1 1
Direct
0.000 0.000 0.000
0.500 0.500 0.500
0.750 0.750 0.750
0.250 0.250 0.250
```

=====

Entry from OQMD: a geometry-optimized TaAlZnNi structure (PBE-GGA).

## Properties
Uncorrected energy (eV per atom): -5.56
SG: No. 216

```
TaAlZnNi
1.0
0.000 3.072 3.072
3.072 0.000 3.072
3.072 3.072 0.000
Al Ta Ni Zn
1 1 1 1
Direct
0.000 0.000 0.000
0.250 0.250 0.250
0.750 0.750 0.750
0.500 0.500 0.500
```

=====

Entry from OQMD: a geometry-optimized PaTlGa structure (PBE-GGA).

## Properties
ΔE to the lowest computed polymorph (meV/atom): 0
Uncorrected energy (eV per atom): -4.64
SG: No. 216

```
PaTlGa
1.0
0.000 3.398 3.398
3.398 0.000 3.398
3.398 3.398 0.000
Pa Ga Tl
1 1 1
Direct
0.250 0.250 0.250
0.000 0.000 0.000
0.750 0.750 0.750
```

=====

Entry from OQMD: a geometry-optimized YTlZnSe3 structure (PBE-GGA).

## Properties
Uncorrected energy (eV per atom): -4.55
SG: No. 11

```
YTlZnSe3
1.0
8.369 0.000 0.000
0.000 4.122 0.000
-3.462 0.000 10.021
Se Tl Y Zn
6 2 2 2
Direct
0.049 0.250 0.358
0.563 0.250 0.337
0.723 0.750 0.061
0.437 0.750 0.663
0.951 0.750 0.642
0.277 0.250 0.939
0.232 0.750 0.212
0.768 0.250 0.788
0.810 0.750 0.361
0.190 0.250 0.639
0.424 0.750 0.891
0.576 0.250 0.109
```

=====

- Look up the uncorrected energy of the first one.
  -7.07 eV per atom

=====

- The highest uncorrected energy belongs to which entry?
  YTlZnSe3

=====

- Look up the uncorrected energy of the third one.
  -4.64 eV per atom